[1]
{"formula": "Hf3GeRh", "functional": "PBE", "state": "optimized geometry", "e_above_lowest_polymorph_mev_per_atom": 0, "delta_e_f_ev_per_atom": 0.1980, "lattice": [[4.944, 0.000, 0.000], [0.000, 4.944, 0.000], [0.000, 0.000, 4.944]], "species": ["Hf", "Hf", "Hf", "Ge", "Rh"], "frac_coords": [[0.000, 0.000, 0.500], [0.500, 0.000, 0.000], [0.000, 0.500, 0.000], [0.500, 0.500, 0.500], [0.000, 0.000, 0.000]]}

=====

[2]
{"formula": "PmTm3Bi4", "functional": "PBE", "state": "optimized geometry", "delta_e_f_ev_per_atom": -0.8162, "lattice": [[4.474, 0.000, 0.000], [0.000, 7.743, -0.074], [0.000, -2.512, 7.324]], "species": ["Pm", "Tm", "Tm", "Tm", "Bi", "Bi", "Bi", "Bi"], "frac_coords": [[0.500, 0.000, 0.000], [0.000, 0.000, 0.500], [0.500, 0.500, 0.500], [0.000, 0.500, 0.000], [0.500, 0.747, 0.253], [0.500, 0.253, 0.747], [0.000, 0.257, 0.257], [0.000, 0.743, 0.743]]}

=====

[3]
{"formula": "CaAcTlGa", "functional": "PBE", "state": "optimized geometry", "e_above_lowest_polymorph_mev_per_atom": 0, "delta_e_f_ev_per_atom": -0.4180, "lattice": [[3.896, 0.000, 0.000], [0.000, 3.896, 0.000], [0.000, 0.000, 7.873]], "species": ["Tl", "Ca", "Ga", "Ac"], "frac_coords": [[0.000, 0.000, 0.832], [0.500, 0.500, 0.593], [0.000, 0.000, 0.377], [0.500, 0.500, 0.125]]}

=====

[4]
{"formula": "MgRuOF2", "functional": "PBE", "state": "optimized geometry", "e_form_raw_kj_per_mol_fu": -675.5, "e_above_lowest_polymorph_mev_per_atom": 0, "lattice": [[-1.908, 2.035, -2.509], [-2.689, 0.614, 2.543], [2.034, 3.513, 1.302]], "species": ["F", "F", "Mg", "O", "Ru"], "frac_coords": [[0.500, 0.000, 0.000], [0.000, 0.500, 0.000], [0.000, 0.000, 0.000], [0.000, 0.000, 0.500], [0.500, 0.500, 0.500]]}

=====

[5]
{"formula": "Rb3CuS2", "functional": "PBE", "state": "optimized geometry", "e_form_raw_kj_per_mol_fu": -451.2, "e_above_lowest_polymorph_mev_per_atom": 33, "lattice": [[-3.780, 1.983, 0.538], [-4.367, -5.129, -11.783], [-4.443, -10.111, 6.048]], "species": ["Rb", "Rb", "Rb", "Rb", "Rb", "Rb", "Rb", "Rb", "Rb", "Rb", "Rb", "Rb", "Cu", "Cu", "Cu", "Cu", "S", "S", "S", "S", "S", "S", "S", "S"], "frac_coords": [[0.250, 0.112, 0.575], [0.250, 0.055, 0.880], [0.750, 0.201, 0.326], [0.750, 0.555, 0.620], [0.250, 0.388, 0.075], [0.750, 0.299, 0.826], [0.250, 0.445, 0.380], [0.250, 0.799, 0.674], [0.250, 0.701, 0.174], [0.750, 0.612, 0.925], [0.750, 0.888, 0.425], [0.750, 0.945, 0.120], [0.250, 0.364, 0.639], [0.750, 0.864, 0.861], [0.750, 0.636, 0.361], [0.250, 0.136, 0.139], [0.750, 0.183, 0.066], [0.250, 0.683, 0.434], [0.750, 0.317, 0.566], [0.750, 0.533, 0.208], [0.250, 0.467, 0.792], [0.250, 0.033, 0.292], [0.250, 0.817, 0.934], [0.750, 0.967, 0.708]]}

=====

[6]
{"formula": "Tb5DyAg4", "functional": "PBE", "state": "optimized geometry", "delta_e_f_ev_per_atom": -0.2422, "lattice": [[3.624, 0.000, 0.000], [0.000, 3.624, 0.000], [0.000, 0.000, 19.705]], "species": ["Ag", "Ag", "Ag", "Ag", "Dy", "Tb", "Tb", "Tb", "Tb", "Tb"], "frac_coords": [[0.000, 0.000, 0.218], [0.000, 0.000, 0.406], [0.000, 0.000, 0.782], [0.000, 0.000, 0.594], [0.000, 0.000, 0.000], [0.500, 0.500, 0.312], [0.500, 0.500, 0.875], [0.500, 0.500, 0.688], [0.500, 0.500, 0.500], [0.500, 0.500, 0.125]]}

=====

[7]
{"formula": "ScSb2TeI", "functional": "PBE", "state": "optimized geometry", "e_form_raw_kj_per_mol_fu": 41.5, "e_above_lowest_polymorph_mev_per_atom": 64, "lattice": [[-2.459, 0.608, 5.083], [-2.099, -5.262, -0.385], [4.392, -1.925, 2.355]], "species": ["Te", "I", "Sc", "Sb", "Sb"], "frac_coords": [[0.500, 0.500, 0.500], [0.000, 0.000, 0.500], [0.000, 0.000, 0.000], [0.500, 0.000, 0.000], [0.000, 0.500, 0.000]]}

=====

[8]
{"formula": "TmZrAg2", "functional": "PBE", "state": "optimized geometry", "e_above_lowest_polymorph_mev_per_atom": 0, "delta_e_f_ev_per_atom": -0.1266, "lattice": [[3.522, 0.000, 0.000], [0.000, 3.522, 0.000], [0.000, 0.000, 7.018]], "species": ["Zr", "Tm", "Ag", "Ag"], "frac_coords": [[0.500, 0.500, 0.000], [0.500, 0.500, 0.500], [0.000, 0.000, 0.242], [0.000, 0.000, 0.758]]}

=====

[9]
{"formula": "MgTiN", "functional": "PBE", "state": "optimized geometry", "e_form_raw_kj_per_mol_fu": -241.2, "e_above_lowest_polymorph_mev_per_atom": 115, "lattice": [[5.210, 0.000, 0.002], [0.000, 3.083, 0.000], [-1.607, 0.000, 5.065]], "species": ["Mg", "Mg", "N", "N", "Ti", "Ti"], "frac_coords": [[0.225, 0.500, 0.260], [0.775, 0.500, 0.740], [0.500, 0.500, 0.000], [0.500, 0.000, 0.500], [0.700, 0.000, 0.238], [0.300, 0.000, 0.762]]}

=====

[10]
{"formula": "Zr3N", "functional": "PBE", "state": "optimized geometry", "e_form_raw_kj_per_mol_fu": 245.5, "e_above_lowest_polymorph_mev_per_atom": 1500, "lattice": [[-0.568, -5.516, 0.450], [2.186, -3.419, -3.806], [1.519, 4.346, 3.124]], "species": ["Zr", "Zr", "Zr", "N"], "frac_coords": [[0.750, 0.250, 0.500], [0.500, 0.500, 0.000], [0.250, 0.750, 0.500], [0.000, 0.000, 0.000]]}

=====

[11]
{"formula": "Ta2TeO", "functional": "PBE", "state": "optimized geometry", "e_form_raw_kj_per_mol_fu": -137.3, "e_above_lowest_polymorph_mev_per_atom": 0, "lattice": [[5.060, 0.000, 0.000], [0.000, 5.060, 0.000], [2.530, 2.530, 6.284]], "species": ["O", "O", "Ta", "Ta", "Ta", "Ta", "Te", "Te"], "frac_coords": [[0.250, 0.750, 0.500], [0.500, 0.500, 0.000], [0.875, 0.737, 0.750], [0.263, 0.625, 0.250], [0.487, 0.125, 0.250], [0.375, 0.513, 0.750], [0.750, 0.250, 0.500], [0.000, 0.000, 0.000]]}

=====

[12]
{"formula": "NaCa3Nb", "functional": "PBE", "state": "optimized geometry", "e_above_lowest_polymorph_mev_per_atom": 0, "delta_e_f_ev_per_atom": 0.7570, "lattice": [[5.708, 0.000, 0.000], [0.000, 5.708, 0.000], [0.000, 0.000, 5.708]], "species": ["Na", "Ca", "Ca", "Ca", "Nb"], "frac_coords": [[0.500, 0.500, 0.500], [0.500, 0.000, 0.000], [0.000, 0.500, 0.000], [0.000, 0.000, 0.500], [0.000, 0.000, 0.000]]}

=====

[13]
{"formula": "Ac8Pm3Pr2", "functional": "PBE", "state": "optimized geometry", "e_above_lowest_polymorph_mev_per_atom": 3, "delta_e_f_ev_per_atom": 0.2073, "lattice": [[6.827, 0.546, 2.621], [2.548, 8.800, 4.803], [1.108, 0.583, 10.268]], "species": ["Pm", "Pm", "Pm", "Ac", "Ac", "Ac", "Ac", "Ac", "Ac", "Ac", "Ac", "Pr", "Pr"], "frac_coords": [[0.000, 0.837, 0.163], [0.500, 0.000, 0.000], [0.000, 0.163, 0.837], [0.541, 0.566, 0.197], [0.459, 0.803, 0.434], [0.009, 0.601, 0.601], [0.541, 0.197, 0.566], [0.987, 0.813, 0.813], [0.459, 0.434, 0.803], [0.991, 0.399, 0.399], [0.013, 0.187, 0.187], [0.466, 0.809, 0.809], [0.534, 0.191, 0.191]]}

=====

[14]
{"formula": "InReCl3", "functional": "PBE", "state": "optimized geometry", "e_form_raw_kj_per_mol_fu": -8.8, "e_above_lowest_polymorph_mev_per_atom": 0, "lattice": [[-4.740, 0.807, -1.226], [-1.346, -4.041, 2.545], [-0.584, 2.764, 4.079]], "species": ["Cl", "Cl", "Cl", "In", "Re"], "frac_coords": [[0.000, 0.000, 0.500], [0.500, 0.000, 0.000], [0.000, 0.500, 0.000], [0.500, 0.500, 0.500], [0.000, 0.000, 0.000]]}

=====

[15]
{"formula": "SnTeS", "functional": "PBE", "state": "optimized geometry", "e_form_raw_kj_per_mol_fu": -44.8, "e_above_lowest_polymorph_mev_per_atom": 0, "lattice": [[-5.732, -3.429, 1.658], [0.747, -2.602, -2.801], [1.378, -0.563, 3.600]], "species": ["Sn", "S", "Te"], "frac_coords": [[0.022, 0.000, 0.000], [0.230, 0.333, 0.667], [0.748, 0.667, 0.333]]}

=====

[16]
{"formula": "Pa2SiAg", "functional": "PBE", "state": "optimized geometry", "e_form_raw_kj_per_mol_fu": 88.3, "e_above_lowest_polymorph_mev_per_atom": 276, "lattice": [[-2.250, 1.422, -1.517], [-1.096, -1.204, -2.595], [-8.630, -5.616, 4.442]], "species": ["Pa", "Pa", "Ag", "Si"], "frac_coords": [[0.094, 0.094, 0.717], [0.906, 0.906, 0.283], [0.000, 0.000, 0.000], [0.500, 0.500, 0.500]]}

=====

[17]
{"formula": "Na2IF", "functional": "PBE", "state": "optimized geometry", "e_form_raw_kj_per_mol_fu": -697.1, "e_above_lowest_polymorph_mev_per_atom": 163, "lattice": [[4.026, -0.005, -0.001], [-2.017, 3.485, 0.001], [-2.003, -1.164, 6.597]], "species": ["Na", "Na", "I", "F"], "frac_coords": [[0.542, 0.272, 0.814], [0.458, 0.728, 0.186], [0.000, 0.500, 0.500], [0.000, 0.000, 0.000]]}

=====

[18]
{"formula": "TbMg2SnAu4", "functional": "PBE", "state": "optimized geometry", "delta_e_f_ev_per_atom": -0.5610, "lattice": [[-4.137, -2.142, -0.054], [-1.164, -2.907, 3.450], [-5.344, 5.111, 5.649]], "species": ["Mg", "Mg", "Au", "Au", "Au", "Au", "Sn", "Tb"], "frac_coords": [[0.248, 0.248, 0.257], [0.752, 0.752, 0.743], [0.385, 0.385, 0.844], [0.615, 0.615, 0.156], [0.884, 0.884, 0.349], [0.116, 0.116, 0.651], [0.500, 0.500, 0.500], [0.000, 0.000, 0.000]]}

=====

[19]
{"formula": "BeReIF2", "functional": "PBE", "state": "optimized geometry", "e_form_raw_kj_per_mol_fu": -180.4, "lattice": [[3.674, 0.000, 0.000], [0.000, 6.881, 0.000], [0.000, 0.000, 3.674]], "species": ["F", "F", "Be", "Re", "I"], "frac_coords": [[0.500, 0.000, 0.000], [0.000, 0.000, 0.500], [0.000, 0.000, 0.000], [0.500, 0.500, 0.500], [0.000, 0.500, 0.000]]}

=====

[20]
{"formula": "CeCoSi2Os", "functional": "PBE", "state": "optimized geometry", "e_form_raw_kj_per_mol_fu": -359.8, "lattice": [[-2.614, -3.013, 0.768], [1.860, -0.711, 3.540], [-2.649, 5.056, 0.077]], "species": ["Ce", "Os", "Si", "Si", "Co"], "frac_coords": [[0.000, 0.000, 0.000], [0.250, 0.750, 0.500], [0.371, 0.371, 0.743], [0.629, 0.629, 0.257], [0.750, 0.250, 0.500]]}

=====

[21]
{"formula": "YNi7B2", "functional": "PBE", "state": "optimized geometry", "delta_e_f_ev_per_atom": -0.1045, "lattice": [[-2.388, -2.599, 1.870], [4.039, -0.690, 4.199], [-3.868, 4.291, 1.024]], "species": ["Ni", "Ni", "Ni", "Ni", "Ni", "Ni", "Ni", "Y", "B", "B"], "frac_coords": [[0.000, 0.339, 0.661], [0.500, 0.061, 0.334], [0.500, 0.939, 0.666], [0.500, 0.666, 0.939], [0.500, 0.334, 0.061], [0.000, 0.661, 0.339], [0.500, 0.500, 0.500], [0.000, 0.000, 0.000], [0.500, 0.293, 0.707], [0.500, 0.707, 0.293]]}

=====

[22]
{"formula": "HgPt2SeS", "functional": "PBE", "state": "optimized geometry", "e_form_raw_kj_per_mol_fu": 755.6, "lattice": [[5.114, 0.000, 0.000], [0.000, 4.993, 0.000], [0.000, 0.000, 5.114]], "species": ["Pt", "Pt", "S", "Hg", "Se"], "frac_coords": [[0.000, 0.000, 0.500], [0.500, 0.000, 0.000], [0.500, 0.500, 0.500], [0.000, 0.000, 0.000], [0.000, 0.500, 0.000]]}

=====

[23]
{"formula": "ZrSICl2", "functional": "PBE", "state": "optimized geometry", "e_form_raw_kj_per_mol_fu": -410.7, "e_above_lowest_polymorph_mev_per_atom": 0, "lattice": [[-4.216, 0.113, 2.859], [-0.962, -4.851, -1.227], [2.697, -1.556, 4.038]], "species": ["Cl", "Cl", "Zr", "S", "I"], "frac_coords": [[0.000, 0.500, 0.000], [0.500, 0.000, 0.000], [0.000, 0.000, 0.000], [0.000, 0.000, 0.500], [0.500, 0.500, 0.500]]}

=====

[24]
{"formula": "Pm2NdHgO", "functional": "PBE", "state": "optimized geometry", "e_form_raw_kj_per_mol_fu": -650.8, "lattice": [[-1.193, 4.723, 0.954], [-3.418, -0.149, -3.538], [-3.337, -1.507, 3.288]], "species": ["O", "Hg", "Pm", "Pm", "Nd"], "frac_coords": [[0.000, 0.000, 0.000], [0.500, 0.500, 0.500], [0.000, 0.000, 0.500], [0.000, 0.500, 0.000], [0.500, 0.000, 0.000]]}

=====

[25]
{"formula": "GaAs2PtBr", "functional": "PBE", "state": "optimized geometry", "e_form_raw_kj_per_mol_fu": 436.9, "e_above_lowest_polymorph_mev_per_atom": 557, "lattice": [[-2.383, -4.026, 1.513], [4.186, -1.774, 1.871], [-0.974, 2.168, 4.234]], "species": ["Pt", "Ga", "Br", "As", "As"], "frac_coords": [[0.500, 0.500, 0.500], [0.000, 0.000, 0.000], [0.000, 0.000, 0.500], [0.500, 0.000, 0.000], [0.000, 0.500, 0.000]]}

=====

[26]
{"formula": "AlSe2O2", "functional": "PBE", "state": "optimized geometry", "e_form_raw_kj_per_mol_fu": -51.0, "e_above_lowest_polymorph_mev_per_atom": 0, "lattice": [[6.683, 0.000, 0.000], [0.000, 6.683, 0.000], [0.000, 0.000, 3.886]], "species": ["Al", "Al", "O", "O", "O", "O", "Se", "Se", "Se", "Se"], "frac_coords": [[0.500, 0.500, 0.000], [0.000, 0.000, 0.000], [0.807, 0.693, 0.500], [0.693, 0.193, 0.500], [0.193, 0.307, 0.500], [0.307, 0.807, 0.500], [0.840, 0.660, 0.000], [0.660, 0.160, 0.000], [0.160, 0.340, 0.000], [0.340, 0.840, 0.000]]}